[1]
DFT (GGA-PBE) results for crystalline SrBeSnSe2 at its relaxed geometry.

Results
- formation energy from raw total energies (meV/atom) = -459
- E (eV per atom) = -3.735

Cell: 5.183 4.555 5.183 Å, 90.00 90.00 90.00°
Atoms (fractional coordinates):
Sr 0.500 0.500 0.500
Sn 0.000 0.500 0.000
Se 0.000 0.000 0.500
Se 0.500 0.000 0.000
Be 0.000 0.000 0.000

[2]
DFT (GGA-PBE) results for crystalline BeSnTe2Se at its relaxed geometry.

Results
- formation energy from raw total energies (meV/atom) = 771
- E (eV per atom) = -2.728

Cell: 5.827 4.525 5.827 Å, 90.00 90.00 90.00°
Atoms (fractional coordinates):
Be 0.000 0.500 0.000
Te 0.000 0.000 0.500
Te 0.500 0.000 0.000
Sn 0.000 0.000 0.000
Se 0.500 0.500 0.500

[3]
DFT (GGA-PBE) results for crystalline TiBe2SnSe at its relaxed geometry.

Results
- formation energy from raw total energies (meV/atom) = 1215
- E (eV per atom) = -3.352

Cell: 4.649 5.418 4.649 Å, 90.00 90.00 90.00°
Atoms (fractional coordinates):
Be 0.000 0.000 0.500
Be 0.500 0.000 0.000
Sn 0.000 0.500 0.000
Se 0.500 0.500 0.500
Ti 0.000 0.000 0.000

[4]
DFT (GGA-PBE) results for crystalline BeSnW2Se at its relaxed geometry.

Results
- formation energy from raw total energies (meV/atom) = 1296
- E (eV per atom) = -6.128

Cell: 4.800 3.920 4.800 Å, 90.00 90.00 90.00°
Atoms (fractional coordinates):
Be 0.000 0.500 0.000
Se 0.000 0.000 0.000
Sn 0.500 0.500 0.500
W 0.000 0.000 0.500
W 0.500 0.000 0.000

[5]
DFT (GGA-PBE) results for crystalline ZrBeSn2Se at its relaxed geometry.

Results
- formation energy from raw total energies (meV/atom) = 919
- E (eV per atom) = -3.834

Cell: 5.668 4.744 5.668 Å, 90.00 90.00 90.00°
Atoms (fractional coordinates):
Be 0.000 0.500 0.000
Se 0.500 0.500 0.500
Sn 0.000 0.000 0.500
Sn 0.500 0.000 0.000
Zr 0.000 0.000 0.000

[6]
DFT (GGA-PBE) results for crystalline Sr3BeSe at its relaxed geometry.

Results
- formation energy from raw total energies (meV/atom) = -217
- ΔE to the lowest computed polymorph (kJ per mole of atoms) = 0.00
- E (eV per atom) = -2.668

Cell: 5.893 5.893 5.893 Å, 90.00 90.00 90.00°
Atoms (fractional coordinates):
Sr 0.000 0.500 0.000
Sr 0.000 0.000 0.500
Sr 0.500 0.000 0.000
Se 0.000 0.000 0.000
Be 0.500 0.500 0.500

[7]
DFT (GGA-PBE) results for crystalline Sr2Be2Se at its relaxed geometry.

Results
- formation energy from raw total energies (meV/atom) = 88
- ΔE to the lowest computed polymorph (kJ per mole of atoms) = 28.40
- E (eV per atom) = -2.772

Cell: 8.301 8.301 4.371 Å, 90.00 90.00 90.00°
Atoms (fractional coordinates):
Sr 0.307 0.807 0.000
Sr 0.807 0.693 0.000
Sr 0.693 0.193 0.000
Sr 0.193 0.307 0.000
Se 0.000 0.000 0.000
Se 0.500 0.500 0.000
Be 0.089 0.589 0.500
Be 0.589 0.911 0.500
Be 0.911 0.411 0.500
Be 0.411 0.089 0.500

[8]
DFT (GGA-PBE) results for crystalline Sr2Be2Se at its relaxed geometry.

Results
- formation energy from raw total energies (meV/atom) = -206
- ΔE to the lowest computed polymorph (kJ per mole of atoms) = 0.00
- E (eV per atom) = -3.066

Cell: 3.681 3.681 9.425 Å, 78.74 78.74 90.00°
Atoms (fractional coordinates):
Sr 0.398 0.398 0.205
Sr 0.602 0.602 0.795
Se 0.000 0.000 0.000
Be 0.750 0.250 0.500
Be 0.250 0.750 0.500

[9]
DFT (GGA-PBE) results for crystalline SrBeSe2 at its relaxed geometry.

Results
- formation energy from raw total energies (meV/atom) = -863
- E (eV per atom) = -3.957

Cell: 4.012 4.012 6.454 Å, 90.00 90.00 90.00°
Atoms (fractional coordinates):
Sr 0.000 0.000 0.400
Se 0.000 0.000 0.872
Se 0.500 0.500 0.278
Be 0.500 0.500 0.949

[10]
DFT (GGA-PBE) results for crystalline SrBeSe2 at its relaxed geometry.

Results
- formation energy from raw total energies (meV/atom) = -735
- E (eV per atom) = -3.830

Cell: 7.178 7.178 7.178 Å, 151.24 148.18 43.42°
Atoms (fractional coordinates):
Sr 0.453 0.453 0.000
Se 0.076 0.076 0.000
Se 0.781 0.281 0.500
Be 0.191 0.691 0.500

[11]
DFT (GGA-PBE) results for crystalline Sr2BeSe at its relaxed geometry.

Results
- formation energy from raw total energies (meV/atom) = -543
- ΔE to the lowest computed polymorph (kJ per mole of atoms) = 1.64
- E (eV per atom) = -3.187

Cell: 6.146 6.146 4.823 Å, 82.18 82.18 39.58°
Atoms (fractional coordinates):
Sr 0.011 0.011 0.152
Sr 0.735 0.735 0.597
Se 0.296 0.296 0.050
Be 0.458 0.458 0.701

[12]
DFT (GGA-PBE) results for crystalline SrBeSe2 at its relaxed geometry.

Results
- formation energy from raw total energies (meV/atom) = -438
- E (eV per atom) = -3.532

Cell: 4.941 4.941 3.672 Å, 89.89 89.89 89.94°
Atoms (fractional coordinates):
Sr 0.500 0.000 0.500
Se 0.000 0.000 0.000
Se 0.500 0.500 0.000
Be 0.000 0.500 0.500

[13]
DFT (GGA-PBE) results for crystalline Sr2BeSe2 at its relaxed geometry.

Results
- formation energy from raw total energies (meV/atom) = -940
- ΔE to the lowest computed polymorph (kJ per mole of atoms) = 0.00
- E (eV per atom) = -3.752

Cell: 8.099 8.099 4.075 Å, 90.00 90.00 90.00°
Atoms (fractional coordinates):
Sr 0.156 0.656 0.500
Sr 0.656 0.844 0.500
Sr 0.844 0.344 0.500
Sr 0.344 0.156 0.500
Se 0.345 0.845 0.000
Se 0.845 0.655 0.000
Se 0.655 0.155 0.000
Se 0.155 0.345 0.000
Be 0.000 0.000 0.000
Be 0.500 0.500 0.000

[14]
DFT (GGA-PBE) results for crystalline Sr2BeSe at its relaxed geometry.

Results
- formation energy from raw total energies (meV/atom) = -560
- ΔE to the lowest computed polymorph (kJ per mole of atoms) = 0.00
- E (eV per atom) = -3.204

Cell: 3.868 3.868 7.358 Å, 90.00 90.00 90.07°
Atoms (fractional coordinates):
Sr 0.000 0.000 0.998
Sr 0.000 0.000 0.502
Se 0.500 0.500 0.750
Be 0.500 0.500 0.250

[15]
DFT (GGA-PBE) results for crystalline SrBeSe2 at its relaxed geometry.

Results
- formation energy from raw total energies (meV/atom) = -865
- E (eV per atom) = -3.959

Cell: 5.458 5.458 5.458 Å, 140.37 107.00 86.42°
Atoms (fractional coordinates):
Sr 0.750 0.250 0.500
Se 0.059 0.059 0.000
Se 0.441 0.441 0.000
Be 0.250 0.750 0.500

[16]
DFT (GGA-PBE) results for crystalline SrBeSe2 at its relaxed geometry.

Results
- formation energy from raw total energies (meV/atom) = -265
- E (eV per atom) = -3.360

Cell: 8.723 8.723 8.723 Å, 24.82 24.82 24.82°
Atoms (fractional coordinates):
Sr 0.000 0.000 0.000
Se 0.884 0.884 0.884
Se 0.116 0.116 0.116
Be 0.500 0.500 0.500

[17]
DFT (GGA-PBE) results for crystalline SrBeSe2 at its relaxed geometry.

Results
- formation energy from raw total energies (meV/atom) = -1219
- E (eV per atom) = -4.313

Cell: 3.947 4.638 7.325 Å, 58.61 90.00 90.00°
Atoms (fractional coordinates):
Sr 0.000 0.585 0.393
Se 0.000 0.954 0.898
Se 0.500 0.043 0.441
Be 0.500 0.918 0.768

[18]
DFT (GGA-PBE) results for crystalline SrBeSe2 at its relaxed geometry.

Results
- formation energy from raw total energies (meV/atom) = -964
- E (eV per atom) = -4.058

Cell: 7.017 7.017 7.017 Å, 32.71 32.71 32.71°
Atoms (fractional coordinates):
Sr 0.250 0.250 0.250
Se 0.019 0.019 0.019
Se 0.481 0.481 0.481
Be 0.750 0.750 0.750

[19]
DFT (GGA-PBE) results for crystalline Sr2BeSe at its relaxed geometry.

Results
- formation energy from raw total energies (meV/atom) = -559
- ΔE to the lowest computed polymorph (kJ per mole of atoms) = 0.13
- E (eV per atom) = -3.202

Cell: 4.339 4.339 8.272 Å, 74.84 74.84 59.96°
Atoms (fractional coordinates):
Sr 0.995 0.995 0.015
Sr 0.505 0.505 0.485
Se 0.250 0.250 0.250
Be 0.750 0.750 0.750

[20]
DFT (GGA-PBE) results for crystalline Sr4BeSe at its relaxed geometry.

Results
- formation energy from raw total energies (meV/atom) = 601
- E (eV per atom) = -1.722

Cell: 7.019 7.019 7.019 Å, 60.00 60.00 60.00°
Atoms (fractional coordinates):
Sr 0.875 0.375 0.375
Sr 0.375 0.375 0.875
Sr 0.375 0.875 0.375
Sr 0.375 0.375 0.375
Be 0.750 0.750 0.750
Se 0.000 0.000 0.000

[21]
DFT (GGA-PBE) results for crystalline Sr2BeSe at its relaxed geometry.

Results
- formation energy from raw total energies (meV/atom) = -347
- ΔE to the lowest computed polymorph (kJ per mole of atoms) = 20.55
- E (eV per atom) = -2.991

Cell: 5.410 5.410 5.410 Å, 60.00 60.00 60.00°
Atoms (fractional coordinates):
Sr 0.250 0.250 0.250
Sr 0.750 0.750 0.750
Se 0.500 0.500 0.500
Be 0.000 0.000 0.000

[22]
DFT (GGA-PBE) results for crystalline SrBeSe2 at its relaxed geometry.

Results
- formation energy from raw total energies (meV/atom) = -1232
- E (eV per atom) = -4.326

Cell: 6.556 6.556 4.580 Å, 97.31 97.31 33.96°
Atoms (fractional coordinates):
Sr 0.482 0.482 0.577
Se 0.043 0.043 0.098
Se 0.773 0.773 0.501
Be 0.202 0.202 0.325

[23]
DFT (GGA-PBE) results for crystalline SrBeSe2 at its relaxed geometry.

Results
- formation energy from raw total energies (meV/atom) = -30
- E (eV per atom) = -3.124

Cell: 5.059 5.059 5.059 Å, 60.00 60.00 60.00°
Atoms (fractional coordinates):
Sr 0.750 0.750 0.750
Se 0.000 0.000 0.000
Se 0.250 0.250 0.250
Be 0.500 0.500 0.500

[24]
DFT (GGA-PBE) results for crystalline Sr2BeSe at its relaxed geometry.

Results
- formation energy from raw total energies (meV/atom) = 175
- ΔE to the lowest computed polymorph (kJ per mole of atoms) = 70.96
- E (eV per atom) = -2.468

Cell: 5.426 5.426 5.426 Å, 60.00 60.00 60.00°
Atoms (fractional coordinates):
Sr 0.000 0.000 0.000
Sr 0.250 0.250 0.250
Se 0.750 0.750 0.750
Be 0.500 0.500 0.500

[25]
DFT (GGA-PBE) results for crystalline Sr2BeSe at its relaxed geometry.

Results
- formation energy from raw total energies (meV/atom) = -353
- ΔE to the lowest computed polymorph (kJ per mole of atoms) = 19.98
- E (eV per atom) = -2.997

Cell: 6.933 6.933 6.933 Å, 142.91 142.91 53.46°
Atoms (fractional coordinates):
Sr 0.000 0.000 0.000
Sr 0.250 0.750 0.500
Se 0.750 0.250 0.500
Be 0.500 0.500 0.000

[26]
DFT (GGA-PBE) results for crystalline SrBeSe2 at its relaxed geometry.

Results
- formation energy from raw total energies (meV/atom) = -725
- E (eV per atom) = -3.819

Cell: 6.005 6.005 7.711 Å, 90.00 90.00 144.32°
Atoms (fractional coordinates):
Sr 0.500 0.500 0.250
Se 0.000 0.000 0.951
Se 0.000 0.000 0.549
Be 0.500 0.500 0.750

[27]
DFT (GGA-PBE) results for crystalline Sr2BeSe2 at its relaxed geometry.

Results
- formation energy from raw total energies (meV/atom) = -915
- ΔE to the lowest computed polymorph (kJ per mole of atoms) = 2.42
- E (eV per atom) = -3.726

Cell: 6.195 6.195 6.107 Å, 59.52 59.52 90.00°
Atoms (fractional coordinates):
Sr 0.750 0.250 0.500
Sr 0.250 0.750 0.500
Se 0.250 0.250 0.500
Se 0.750 0.750 0.500
Be 0.000 0.000 0.000

[28]
DFT (GGA-PBE) results for crystalline SrBeSe2 at its relaxed geometry.

Results
- formation energy from raw total energies (meV/atom) = -1162
- E (eV per atom) = -4.257

Cell: 7.516 7.516 7.516 Å, 37.31 37.31 37.31°
Atoms (fractional coordinates):
Sr 0.500 0.500 0.500
Se 0.904 0.904 0.904
Se 0.096 0.096 0.096
Be 0.000 0.000 0.000

[29]
DFT (GGA-PBE) results for crystalline Sr2BeSe at its relaxed geometry.

Results
- formation energy from raw total energies (meV/atom) = -355
- ΔE to the lowest computed polymorph (kJ per mole of atoms) = 19.81
- E (eV per atom) = -2.998

Cell: 8.137 8.137 7.076 Å, 54.90 54.90 90.00°
Atoms (fractional coordinates):
Sr 0.635 0.125 0.250
Sr 0.115 0.625 0.250
Sr 0.375 0.365 0.750
Sr 0.875 0.885 0.750
Se 0.000 0.000 0.000
Se 0.750 0.250 0.500
Be 0.500 0.500 0.000
Be 0.250 0.750 0.500